Below is a geometry-optimized TbEuMgAu structure, with properties calculated at the PBE level.

abc: 5.3123 5.3123 5.3123
angles: 60.00 60.00 60.00
Fractional positions:
Tb  0.0000  0.0000  0.0000
Eu  0.5000  0.5000  0.5000
Mg  0.2500  0.2500  0.2500
Au  0.7500  0.7500  0.7500

Its calculated volume is 106.0 Å³/cell. The total moment comes out at 7.2 Bohr magnetons per cell. The formation energy comes out at -0.368 eV/atom.

=====

Below is a geometry-optimized Pm2PrNd5Y structure, with properties calculated at the PBE level.

abc: 10.1239 10.1239 10.1239
angles: 127.29 127.29 77.78
Fractional positions:
Pm  0.1156  0.6156  0.7313
Pm  0.3844  0.1156  0.5000
Pm  0.6156  0.8844  0.5000
Pm  0.8844  0.3844  0.2687
Pr  0.2500  0.2500  0.0000
Pr  0.7500  0.7500  0.0000
Nd  0.0000  0.0000  0.0000
Nd  0.0724  0.1526  0.5000
Nd  0.1526  0.6526  0.0802
Nd  0.3474  0.4276  0.5000
Nd  0.4276  0.9276  0.0802
Nd  0.5000  0.5000  0.0000
Nd  0.5724  0.0724  0.9198
Nd  0.6526  0.5724  0.5000
Nd  0.8474  0.3474  0.9198
Nd  0.9276  0.8474  0.5000
Y  0.2500  0.7500  0.5000
Y  0.7500  0.2500  0.5000

Its calculated volume is 636.7 Å³/cell. The total moment comes out at 0.0 Bohr magnetons per cell. The formation energy comes out at 0.270 eV/atom.

=====

Below is a geometry-optimized BaAlP2 structure, with properties calculated at the PBE level.

abc: 3.6771 3.6771 6.7727
angles: 90.00 90.00 90.00
Fractional positions:
Ba  0.0000  0.0000  0.0000
Al  0.5000  0.5000  0.6490
P  0.0000  0.0000  0.4768
P  0.5000  0.5000  0.3105

Its calculated volume is 91.6 Å³/cell. The total moment comes out at 0.0 Bohr magnetons per cell. The formation energy comes out at -0.080 eV/atom.

=====

Below is a geometry-optimized CaFeAs2 structure, with properties calculated at the PBE level.

abc: 4.7820 4.7820 4.7820
angles: 60.00 60.00 60.00
Fractional positions:
Ca  0.0000  0.0000  0.0000
Fe  0.7500  0.7500  0.7500
As  0.2500  0.2500  0.2500
As  0.5000  0.5000  0.5000

Its calculated volume is 77.3 Å³/cell. The total moment comes out at 2.7 Bohr magnetons per cell. As for the polymorph energy (0 for the lowest one): 657.0 meV per atom. The formation energy comes out at 0.187 eV/atom.